[1]
Density functional theory data (GGA-PBE) for RbLiRhPb2 after structural relaxation.

**M_tot**: 0.00 μB per atom
**ΔH_f (0 K)**: -0.06 eV per atom
**Energy**: -0.132 Ha/atom
**Crystal system**: tetragonal

a = 5.309 Å, b = 5.309 Å, c = 5.346 Å
α = 90.00°, β = 90.00°, γ = 90.00°
Space group P4/mmm (No. 123)
Unique sites:
Rb (0.000, 0.000, 0.000) x1
Li (0.500, 0.500, 0.000) x1
Rh (0.500, 0.500, 0.500) x1
Pb (0.000, 0.500, 0.500) x2

[2]
Density functional theory data (GGA-PBE) for SrAs2P after structural relaxation.

**M_tot**: 0.00 μB per atom
**ΔH_f (0 K)**: -0.08 eV per atom
**Energy**: -0.153 Ha/atom
**Crystal system**: tetragonal

a = 4.262 Å, b = 4.262 Å, c = 9.728 Å
α = 90.00°, β = 90.00°, γ = 90.00°
Space group I-4m2 (No. 119)
Unique sites:
Sr (0.000, 0.000, 0.000) x2
As (0.000, 0.000, 0.500) x2
As (0.000, 0.500, 0.750) x2
P (0.000, 0.500, 0.250) x2

[3]
Density functional theory data (GGA-PBE) for ReMo after structural relaxation.

**M_tot**: 0.00 μB per atom
**ΔH_f (0 K)**: 2.16 eV per atom
**ΔE to the lowest computed polymorph**: 2066 meV per atom
**Energy**: -0.348 Ha/atom
**Crystal system**: cubic

a = 7.784 Å, b = 7.784 Å, c = 7.784 Å
α = 90.00°, β = 90.00°, γ = 90.00°
Space group I-43m (No. 217)
Unique sites:
Re (0.128, 0.128, 0.872) x8
Mo (0.182, 0.182, 0.182) x8

[4]
Density functional theory data (GGA-PBE) for Mn2CuAu2 after structural relaxation.

**M_tot**: 1.69 μB per atom
**ΔH_f (0 K)**: 0.24 eV per atom
**Energy**: -0.204 Ha/atom
**Crystal system**: tetragonal

a = 7.228 Å, b = 7.228 Å, c = 3.276 Å
α = 90.00°, β = 90.00°, γ = 90.00°
Space group P4/mbm (No. 127)
Unique sites:
Mn (0.147, 0.353, 0.000) x4
Cu (0.000, 0.000, 0.000) x2
Au (0.151, 0.651, 0.500) x4

[5]
Density functional theory data (GGA-PBE) for AcHg2Br4 after structural relaxation.

**Formation energy from raw total energies**: -1.054 eV per atom
**M_tot**: 0.00 μB per atom
**Energy**: -0.099 Ha/atom
**Crystal system**: tetragonal

a = 6.345 Å, b = 6.345 Å, c = 14.656 Å
α = 90.00°, β = 90.00°, γ = 90.00°
Space group I4/mmm (No. 139)
Unique sites:
Ac (0.000, 0.000, 0.000) x2
Hg (0.000, 0.000, 0.400) x4
Br (0.000, 0.000, 0.199) x4
Br (0.000, 0.500, 0.000) x4

[6]
Density functional theory data (GGA-PBE) for LiAg after structural relaxation.

**M_tot**: 0.00 μB per atom
**ΔH_f (0 K)**: -0.19 eV per atom
**Energy**: -0.094 Ha/atom
**Crystal system**: monoclinic

a = 9.601 Å, b = 3.095 Å, c = 4.567 Å
α = 90.00°, β = 104.97°, γ = 90.00°
Space group C2/m (No. 12)
Unique sites:
Li (0.119, 0.000, 0.339) x4
Ag (0.123, 0.500, 0.843) x4

[7]
Density functional theory data (GGA-PBE) for La5Co after structural relaxation.

**M_tot**: 0.30 μB per atom
**ΔH_f (0 K)**: 0.64 eV per atom
**ΔE to the lowest computed polymorph**: 639 meV per atom
**Energy**: -0.171 Ha/atom
**Crystal system**: cubic

a = 9.208 Å, b = 9.208 Å, c = 9.208 Å
α = 90.00°, β = 90.00°, γ = 90.00°
Space group F-43m (No. 216)
Unique sites:
La (0.000, 0.000, 0.000) x4
La (0.123, 0.123, 0.377) x16
Co (0.250, 0.250, 0.750) x4

[8]
Density functional theory data (GGA-PBE) for Cs2MgHg2 after structural relaxation.

**M_tot**: 0.00 μB per atom
**ΔH_f (0 K)**: -0.15 eV per atom
**ΔE to the lowest computed polymorph**: 0 meV per atom
**Energy**: -0.034 Ha/atom
**Crystal system**: orthorhombic

a = 8.393 Å, b = 15.506 Å, c = 7.495 Å
α = 90.00°, β = 90.00°, γ = 90.00°
Space group Ibam (No. 72)
Unique sites:
Cs (0.165, 0.149, 0.000) x8
Mg (0.000, 0.500, 0.250) x4
Hg (0.194, 0.399, 0.000) x8

[9]
Density functional theory data (GGA-PBE) for KGeAu2S4 after structural relaxation.

**Formation energy from raw total energies**: -0.406 eV per atom
**M_tot**: 0.00 μB per atom
**Energy**: -0.147 Ha/atom
**Crystal system**: orthorhombic

a = 6.570 Å, b = 7.103 Å, c = 8.441 Å
α = 90.00°, β = 90.00°, γ = 90.00°
Space group I222 (No. 23)
Unique sites:
K (0.000, 0.000, 0.000) x2
Ge (0.000, 0.000, 0.500) x2
Au (0.000, 0.500, 0.167) x4
S (0.199, 0.184, 0.346) x8

[10]
Density functional theory data (GGA-PBE) for Np2SnGe3Ir4 after structural relaxation.

**M_tot**: 0.71 μB per atom
**ΔH_f (0 K)**: -0.36 eV per atom
**Energy**: -0.304 Ha/atom
**Crystal system**: tetragonal

a = 4.143 Å, b = 4.143 Å, c = 10.996 Å
α = 90.00°, β = 90.00°, γ = 90.00°
Space group P-4m2 (No. 115)
Unique sites:
Np (0.000, 0.500, 0.242) x2
Sn (0.000, 0.000, 0.500) x1
Ge (0.000, 0.500, 0.875) x2
Ge (0.500, 0.500, 0.500) x1
Ir (0.000, 0.000, 0.000) x1
Ir (0.000, 0.500, 0.655) x2
Ir (0.500, 0.500, 0.000) x1